Entry 1:
LiCu5P3O13 | Alexandria via LeMat-Bulk | PBE | optimized geometry; total magnetization = 6.0 μB per cell; ΔE_f (raw) = -31.77 eV per formula unit
1.0
-5.400 -0.759 3.052
-1.745 -6.461 -4.840
4.634 -5.820 6.575
Cu O P Li
10 26 6 2
direct
0.254 0.857 0.920 Cu
0.252 0.779 0.545 Cu
0.997 0.853 0.213 Cu
0.257 0.563 0.099 Cu
0.746 0.143 0.080 Cu
0.003 0.147 0.787 Cu
0.743 0.437 0.901 Cu
0.500 0.854 0.211 Cu
0.748 0.221 0.455 Cu
0.500 0.146 0.789 Cu
0.058 0.246 0.475 O
0.953 0.915 0.814 O
0.047 0.085 0.186 O
0.459 0.386 0.784 O
0.243 0.337 0.125 O
0.749 0.381 0.113 O
0.255 0.092 0.965 O
0.955 0.617 0.216 O
0.757 0.205 0.887 O
0.558 0.751 0.520 O
0.541 0.614 0.216 O
0.458 0.092 0.189 O
0.045 0.383 0.784 O
0.542 0.908 0.811 O
0.248 0.102 0.669 O
0.749 0.029 0.562 O
0.251 0.971 0.438 O
0.250 0.565 0.628 O
0.243 0.795 0.113 O
0.745 0.908 0.035 O
0.251 0.619 0.887 O
0.757 0.663 0.875 O
0.750 0.435 0.372 O
0.942 0.754 0.525 O
0.442 0.249 0.480 O
0.752 0.898 0.331 O
0.751 0.863 0.487 P
0.249 0.137 0.513 P
0.748 0.510 0.230 P
0.748 0.846 0.884 P
0.252 0.490 0.770 P
0.252 0.154 0.116 P
0.249 0.437 0.455 Li
0.751 0.563 0.545 Li

---

Entry 2:
Sc2HPt | Alexandria via LeMat-Bulk | PBE | optimized geometry; total magnetization = 0.0 μB per cell; offset from the most stable computed form = 35 meV per atom
1.0
-4.712 -0.793 -3.862
-2.289 -4.351 3.685
-5.267 -0.225 1.585
H Pt Sc
2 2 4
direct
0.250 0.750 0.500 H
0.500 0.500 0.000 H
0.750 0.250 0.500 Pt
0.000 0.000 0.000 Pt
0.547 0.125 0.250 Sc
0.203 0.625 0.250 Sc
0.875 0.797 0.750 Sc
0.375 0.453 0.750 Sc

---

Entry 3:
TlNiBr3 | Alexandria via LeMat-Bulk | PBE | optimized geometry; total magnetization = 1.0 μB per cell; ΔE_f (raw) = 2.08 eV per formula unit; offset from the most stable computed form = 909 meV per atom
1.0
5.685 0.000 0.000
0.000 5.685 0.000
0.000 0.000 5.685
Tl Ni Br
1 1 3
direct
0.000 0.000 0.000 Tl
0.500 0.500 0.500 Ni
0.000 0.000 0.500 Br
0.000 0.500 0.000 Br
0.500 0.000 0.000 Br